[1]
A geometry-optimized AcBiH2O4 structure. Source: Alexandria via LeMat-Bulk, functional GGA-PBE.

abc: 5.2231 5.6932 6.6138
angles: 90.00 90.00 90.00
Closest atoms and distances in Å follow each position.
Space group I222 (No. 23)
Symmetry-distinct sites (fractional):
Ac  0.0000  0.0000  0.0000 (multiplicity 2)  8 O 2.61-2.67
Bi  0.0000  0.0000  0.5000 (multiplicity 2)  4 O 2.41
H  0.0000  0.5000  0.2230 (multiplicity 4)  2 O 1.24
O  0.1758  0.3542  0.7737 (multiplicity 8)  1 H 1.24

Properties
magnetic moment	0.00	μB/cell
electronic total energy	-5.978	eV/atom

[2]
A geometry-optimized RbTiNiSe3 structure. Source: Alexandria via LeMat-Bulk, functional GGA-PBE.

abc: 9.0378 3.7185 9.7956
angles: 90.00 116.63 90.00
Closest atoms and distances in Å follow each position.
Space group P2_1/m (No. 11)
Symmetry-distinct sites (fractional):
Rb  0.2365  0.2500  0.2536 (multiplicity 2)  7 Se 3.41-3.53, 2 Rb 3.72
Ti  0.3044  0.7500  0.8348 (multiplicity 2)  6 Se 2.55-2.68
Ni  0.0872  0.2500  0.6034 (multiplicity 2)  4 Se 2.36-2.43
Se  0.1212  0.2500  0.8582 (multiplicity 2)  1 Ni 2.37, 2 Ti 2.57
Se  0.2113  0.7500  0.5471 (multiplicity 2)  3 Ni 2.36-2.43, 1 Ti 2.55
Se  0.4782  0.7500  0.1397 (multiplicity 2)  3 Ti 2.63-2.68

Properties
formation energy without anion corrections	-5.8	eV/f.u.
magnetic moment	0.00	μB/cell
electronic total energy	-5.158	eV/atom

[3]
A geometry-optimized HfTlB2Pd structure. Source: Alexandria via LeMat-Bulk, functional GGA-PBE.

abc: 4.3386 4.3386 5.0333
angles: 90.00 90.00 90.00
Closest atoms and distances in Å follow each position.
Space group P4/mmm (No. 123)
Symmetry-distinct sites (fractional):
Hf  0.0000  0.0000  0.0000 (multiplicity 1)  4 Pd 3.07, 8 B 3.32
Tl  0.5000  0.5000  0.5000 (multiplicity 1)  4 B 2.17
B  0.0000  0.5000  0.5000 (multiplicity 2)  2 Tl 2.17
Pd  0.5000  0.5000  0.0000 (multiplicity 1)  2 Tl 2.52

Properties
energy of formation	1.764	eV/atom
magnetic moment	0.00	μB/cell
electronic total energy	-4.409	eV/atom

[4]
A geometry-optimized Li2InMo structure. Source: Alexandria via LeMat-Bulk, functional GGA-PBE.

abc: 2.8769 2.8769 29.6691
angles: 90.00 90.00 120.00
Closest atoms and distances in Å follow each position.
Space group R-3m (No. 166, hexagonal axes)
Symmetry-distinct sites (fractional):
Li  0.0000  0.0000  0.2474 (multiplicity 6)  6 Li 2.88, 3 Mo 2.91, 3 In 3.04
In  0.0000  0.0000  0.0000 (multiplicity 3)  6 In 2.88, 6 Li 3.04
Mo  0.0000  0.0000  0.5000 (multiplicity 3)  6 Mo 2.88, 6 Li 2.91

Properties
energy of formation	0.348	eV/atom
magnetic moment	0.14	μB/cell
electronic total energy	-4.001	eV/atom

[5]
A geometry-optimized Ho2ErAu structure. Source: Alexandria via LeMat-Bulk, functional GGA-PBE.

abc: 3.6318 3.6318 29.9147
angles: 90.00 90.00 120.00
Closest atoms and distances in Å follow each position.
Space group R-3m (No. 166, hexagonal axes)
Symmetry-distinct sites (fractional):
Ho  0.0000  0.0000  0.2377 (multiplicity 6)  3 Au 2.99
Er  0.0000  0.0000  0.0000 (multiplicity 3)  6 Ho 3.55, 6 Er 3.63
Au  0.0000  0.0000  0.5000 (multiplicity 3)  6 Ho 2.99

Properties
energy of formation	-0.276	eV/atom
magnetic moment	0.00	μB/cell
electronic total energy	-4.525	eV/atom
E above lowest polymorph	180	meV per atom

[6]
A geometry-optimized SrLa2VRh structure. Source: Alexandria via LeMat-Bulk, functional GGA-PBE.

abc: 5.7585 5.7585 4.7773
angles: 90.00 90.00 90.00
Closest atoms and distances in Å follow each position.
Space group P4/mmm (No. 123)
Symmetry-distinct sites (fractional):
Sr  0.0000  0.0000  0.0000 (multiplicity 1)  2 Rh 2.39
La  0.0000  0.5000  0.0000 (multiplicity 2)  2 Sr 2.88
V  0.5000  0.5000  0.5000 (multiplicity 1)  8 La 3.74, 4 Rh 4.07
Rh  0.0000  0.0000  0.5000 (multiplicity 1)  2 Sr 2.39

Properties
energy of formation	1.645	eV/atom
magnetic moment	0.00	μB/cell
electronic total energy	-3.957	eV/atom

[7]
A geometry-optimized Ca2SmCu6 structure. Source: Alexandria via LeMat-Bulk, functional GGA-PBE.

abc: 7.3809 7.3809 3.7431
angles: 90.00 90.00 120.00
Closest atoms and distances in Å follow each position.
Space group P6/mmm (No. 191)
Symmetry-distinct sites (fractional):
Ca  0.3333  0.6667  0.0000 (multiplicity 2)  12 Cu 3.10
Sm  0.0000  0.0000  0.0000 (multiplicity 1)  12 Cu 3.08
Cu  0.0000  0.3320  0.5000 (multiplicity 6)  3 Cu 2.45-2.48

Properties
energy of formation	-0.143	eV/atom
magnetic moment	0.00	μB/cell
electronic total energy	-3.843	eV/atom

[8]
A geometry-optimized AgTeSe structure. Source: Alexandria via LeMat-Bulk, functional GGA-PBE.

abc: 6.0881 6.1616 6.8296
angles: 107.74 96.96 119.58
Closest atoms and distances in Å follow each position.
Space group P1 (No. 1)
Symmetry-distinct sites (fractional):
Ag  0.0000  0.0000  0.0000 (multiplicity 1)  2 Se 2.59-2.66, 1 Te 2.76
Ag  0.3636  0.6675  0.1601 (multiplicity 1)  2 Se 2.57-2.71, 1 Te 2.75
Te  0.6910  0.1567  0.8388 (multiplicity 1)  1 Se 2.60, 1 Ag 2.76, 1 Te 2.84
Te  0.9216  0.4964  0.2936 (multiplicity 1)  1 Se 2.60, 1 Ag 2.75, 1 Te 2.84
Se  0.2279  0.7709  0.8224 (multiplicity 1)  2 Ag 2.59-2.71, 1 Te 2.60
Se  0.8670  0.8992  0.3346 (multiplicity 1)  2 Ag 2.57-2.66, 1 Te 2.60

Properties
formation energy without anion corrections	0.0	eV/f.u.
magnetic moment	0.00	μB/cell
electronic total energy	-3.156	eV/atom
E above lowest polymorph	27	meV per atom

[9]
A geometry-optimized Rb4Np3TlO12 structure. Source: Alexandria via LeMat-Bulk, functional GGA-PBE.

abc: 8.9089 8.9089 8.9089
angles: 90.00 90.00 90.00
Closest atoms and distances in Å follow each position.
Space group Im-3m (No. 229)
Symmetry-distinct sites (fractional):
Rb  0.2500  0.2500  0.2500 (multiplicity 8)  12 O 3.15-3.17
Np  0.0000  0.0000  0.5000 (multiplicity 6)  2 O 1.87
Tl  0.0000  0.0000  0.0000 (multiplicity 2)  6 O 2.59
O  0.0000  0.0000  0.2904 (multiplicity 12)  1 Np 1.87
O  0.0000  0.2500  0.5000 (multiplicity 12)  2 Np 2.23

Properties
formation energy without anion corrections	-47.4	eV/f.u.
magnetic moment	4.00	μB/cell
electronic total energy	-7.596	eV/atom

[10]
A geometry-optimized Y5Os4 structure. Source: Alexandria via LeMat-Bulk, functional GGA-PBE.

abc: 8.9066 8.9066 4.8307
angles: 90.00 90.00 90.00
Closest atoms and distances in Å follow each position.
Space group I4/mmm (No. 139)
Symmetry-distinct sites (fractional):
Y  0.0000  0.0000  0.0000 (multiplicity 2)  4 Os 3.21, 8 Y 3.32
Y  0.1811  0.1811  0.5000 (multiplicity 8)  2 Os 2.86, 2 Y 2.97
Os  0.0000  0.3606  0.0000 (multiplicity 8)  1 Os 2.48

Properties
energy of formation	0.224	eV/atom
magnetic moment	0.00	μB/cell
electronic total energy	-8.358	eV/atom
E above lowest polymorph	113	meV per atom

[11]
A geometry-optimized Si2SbIr structure. Source: Alexandria via LeMat-Bulk, functional GGA-PBE.

abc: 2.9515 3.2441 7.1909
angles: 90.00 90.00 90.00
Closest atoms and distances in Å follow each position.
Space group Pmmm (No. 47)
Symmetry-distinct sites (fractional):
Si  0.0000  0.0000  0.1967 (multiplicity 2)  4 Ir 2.61, 1 Si 2.83
Sb  0.5000  0.5000  0.5000 (multiplicity 1)  4 Sb 2.95-3.24, 8 Si 3.09
Ir  0.5000  0.5000  0.0000 (multiplicity 1)  8 Si 2.61

Properties
formation energy without anion corrections	0.4	eV/f.u.
magnetic moment	0.00	μB/cell
electronic total energy	-5.863	eV/atom

[12]
A geometry-optimized Np2UPbS8 structure. Source: Alexandria via LeMat-Bulk, functional GGA-PBE.

abc: 6.1801 8.2326 6.3844
angles: 90.00 90.09 90.00
Closest atoms and distances in Å follow each position.
Space group P2/m (No. 10)
Symmetry-distinct sites (fractional):
Np  0.0000  0.2481  0.0000 (multiplicity 2)  6 S 2.62-2.71
U  0.5000  0.0000  0.5000 (multiplicity 1)  6 S 2.55-2.70
Pb  0.5000  0.5000  0.5000 (multiplicity 1)  6 S 2.89-2.90
S  0.2123  0.5000  0.8575 (multiplicity 2)  2 Np 2.62, 1 Pb 2.90
S  0.2211  0.0000  0.8242 (multiplicity 2)  1 U 2.70, 2 Np 2.70
S  0.2736  0.2226  0.3299 (multiplicity 4)  1 U 2.55, 1 Np 2.71

Properties
formation energy without anion corrections	-12.0	eV/f.u.
magnetic moment	6.01	μB/cell
electronic total energy	-7.157	eV/atom

[13]
A geometry-optimized HoEr3Co structure. Source: Alexandria via LeMat-Bulk, functional GGA-PBE.

abc: 7.6958 7.1548 9.9866
angles: 90.00 107.47 90.00
Closest atoms and distances in Å follow each position.
Space group P2_1/c (No. 14)
Symmetry-distinct sites (fractional):
Ho  0.1899  0.0543  0.2596 (multiplicity 4)  1 Co 3.01, 2 Er 3.22-3.30
Er  0.0811  0.7076  0.0317 (multiplicity 4)  1 Co 2.77
Er  0.2912  0.5108  0.3805 (multiplicity 4)  2 Co 2.66-2.81
Er  0.4123  0.1274  0.6059 (multiplicity 4)  3 Co 2.74-2.86
Co  0.4551  0.7467  0.6086 (multiplicity 4)  6 Er 2.66-2.86

Properties
energy of formation	-0.035	eV/atom
magnetic moment	0.00	μB/cell
electronic total energy	-5.110	eV/atom
E above lowest polymorph	24	meV per atom

[14]
A geometry-optimized MnTe2Pt structure. Source: Alexandria via LeMat-Bulk, functional GGA-PBE.

abc: 3.4894 3.4894 6.5570
angles: 90.00 90.00 90.00
Closest atoms and distances in Å follow each position.
Space group P4/mmm (No. 123)
Symmetry-distinct sites (fractional):
Mn  0.0000  0.0000  0.0000 (multiplicity 1)  8 Te 2.94, 2 Pt 3.28
Te  0.5000  0.5000  0.2438 (multiplicity 2)  4 Mn 2.94, 4 Pt 2.98, 1 Te 3.20
Pt  0.0000  0.0000  0.5000 (multiplicity 1)  8 Te 2.98, 2 Mn 3.28

Properties
formation energy without anion corrections	0.8	eV/f.u.
magnetic moment	2.83	μB/cell
electronic total energy	-5.169	eV/atom
E above lowest polymorph	443	meV per atom

[15]
A geometry-optimized NaMg2Ir structure. Source: Alexandria via LeMat-Bulk, functional GGA-PBE.

abc: 3.1789 3.1789 8.4626
angles: 90.00 90.00 90.00
Closest atoms and distances in Å follow each position.
Space group P4/mmm (No. 123)
Symmetry-distinct sites (fractional):
Na  0.0000  0.0000  0.0000 (multiplicity 1)  4 Na 3.18, 8 Mg 3.56
Mg  0.5000  0.5000  0.3255 (multiplicity 2)  4 Ir 2.69, 1 Mg 2.95
Ir  0.0000  0.0000  0.5000 (multiplicity 1)  8 Mg 2.69

Properties
energy of formation	-0.159	eV/atom
magnetic moment	0.00	μB/cell
electronic total energy	-3.501	eV/atom

[16]
A geometry-optimized K4AlTc structure. Source: Alexandria via LeMat-Bulk, functional GGA-PBE.

abc: 9.8127 9.8127 9.8127
angles: 90.00 90.00 90.00
Closest atoms and distances in Å follow each position.
Space group F-43m (No. 216)
Symmetry-distinct sites (fractional):
K  0.1250  0.1250  0.1250 (multiplicity 16)  6 K 3.47
Al  0.0000  0.0000  0.5000 (multiplicity 4)  12 K 4.07, 4 Tc 4.25
Tc  0.2500  0.2500  0.7500 (multiplicity 4)  12 K 4.07, 4 Al 4.25

Properties
energy of formation	1.206	eV/atom
magnetic moment	13.44	μB/cell
electronic total energy	-1.877	eV/atom

[17]
A geometry-optimized PtBr2 structure. Source: Alexandria via LeMat-Bulk, functional GGA-PBE.

abc: 4.0588 23.1040 3.5653
angles: 90.00 90.00 90.00
Closest atoms and distances in Å follow each position.
Space group Cmcm (No. 63)
Symmetry-distinct sites (fractional):
Pt  0.0000  0.0444  0.2500 (multiplicity 4)  2 Pt 2.72, 4 Br 2.78
Br  0.0000  0.2498  0.7500 (multiplicity 4)  4 Br 2.70
Br  0.0000  0.4277  0.2500 (multiplicity 4)  4 Pt 2.78

Properties
formation energy without anion corrections	1.3	eV/f.u.
magnetic moment	0.00	μB/cell
electronic total energy	-2.691	eV/atom

[18]
A geometry-optimized TiIrRh structure. Source: Alexandria via LeMat-Bulk, functional GGA-PBE.

abc: 14.6584 2.7773 9.1727
angles: 90.00 100.76 90.00
Closest atoms and distances in Å follow each position.
Space group C2/m (No. 12)
Symmetry-distinct sites (fractional):
Ti  0.0407  0.0000  0.3689 (multiplicity 4)  3 Rh 2.41-2.46, 1 Ir 2.55
Ti  0.1004  0.5000  0.8827 (multiplicity 4)  3 Ir 2.66-2.79, 6 Rh 2.67-2.90, 2 Ti 2.78
Ir  0.2153  0.0000  0.3726 (multiplicity 4)  1 Ti 2.55, 3 Rh 2.74-2.82, 6 Ir 2.75-2.78
Ir  0.2354  0.5000  0.1217 (multiplicity 4)  3 Ti 2.66-2.79, 6 Ir 2.73-2.78, 3 Rh 2.75-2.79
Rh  0.0732  0.0000  0.1192 (multiplicity 4)  3 Ti 2.43-2.67
Rh  0.1236  0.0000  0.6276 (multiplicity 4)  2 Ti 2.41-2.46

Properties
energy of formation	-0.350	eV/atom
magnetic moment	0.00	μB/cell
electronic total energy	-8.386	eV/atom
E above lowest polymorph	366	meV per atom

[19]
A geometry-optimized MnAs2Ru structure. Source: Alexandria via LeMat-Bulk, functional GGA-PBE.

abc: 3.1397 3.6642 5.2750
angles: 90.00 90.00 90.00
Closest atoms and distances in Å follow each position.
Space group Pmm2 (No. 25)
Symmetry-distinct sites (fractional):
Mn  0.0000  0.0000  0.0000 (multiplicity 1)  6 As 2.52-2.66
As  0.0000  0.0000  0.4963 (multiplicity 1)  4 Ru 2.55, 2 Mn 2.62-2.66
As  0.5000  0.5000  0.8640 (multiplicity 1)  2 Ru 2.52-2.76, 4 Mn 2.52
Ru  0.5000  0.5000  0.3410 (multiplicity 1)  6 As 2.52-2.76

Properties
energy of formation	-0.103	eV/atom
magnetic moment	2.85	μB/cell
electronic total energy	-7.040	eV/atom
E above lowest polymorph	0	meV per atom

[20]
A geometry-optimized Sr5Ca4Ac structure. Source: Alexandria via LeMat-Bulk, functional GGA-PBE.

abc: 4.0491 4.0491 29.3356
angles: 90.00 90.00 90.00
Closest atoms and distances in Å follow each position.
Space group P4/mmm (No. 123)
Symmetry-distinct sites (fractional):
Sr  0.0000  0.0000  0.0000 (multiplicity 1)  4 Sr 4.05, 8 Ca 4.09
Sr  0.0000  0.0000  0.1987 (multiplicity 2)  4 Sr 4.05, 8 Ca 4.08
Sr  0.0000  0.0000  0.3985 (multiplicity 2)  4 Sr 4.05, 4 Ca 4.11, 4 Ac 4.13
Ca  0.5000  0.5000  0.0994 (multiplicity 2)  4 Ca 4.05, 8 Sr 4.08-4.09
Ca  0.5000  0.5000  0.2978 (multiplicity 2)  4 Ca 4.05, 8 Sr 4.08-4.11
Ac  0.5000  0.5000  0.5000 (multiplicity 1)  4 Ac 4.05, 8 Sr 4.13

Properties
energy of formation	0.034	eV/atom
magnetic moment	0.00	μB/cell
electronic total energy	-2.018	eV/atom

[21]
A geometry-optimized LiBe2Pb2 structure. Source: Alexandria via LeMat-Bulk, functional GGA-PBE.

abc: 7.3223 7.3223 3.5961
angles: 90.00 90.00 90.00
Closest atoms and distances in Å follow each position.
Space group P4/mbm (No. 127)
Symmetry-distinct sites (fractional):
Li  0.0000  0.0000  0.0000 (multiplicity 2)  4 Be 3.00, 8 Pb 3.21
Be  0.1037  0.3963  0.0000 (multiplicity 4)  1 Be 2.15
Pb  0.1909  0.6909  0.5000 (multiplicity 4)  6 Be 2.78-2.88

Properties
energy of formation	0.353	eV/atom
magnetic moment	0.00	μB/cell
electronic total energy	-3.004	eV/atom
E above lowest polymorph	0	meV per atom

[22]
A geometry-optimized YTlIr2 structure. Source: Alexandria via LeMat-Bulk, functional GGA-PBE.

abc: 6.7305 6.7305 6.7305
angles: 90.00 90.00 90.00
Closest atoms and distances in Å follow each position.
Space group Fm-3m (No. 225)
Symmetry-distinct sites (fractional):
Y  0.0000  0.0000  0.0000 (multiplicity 4)  8 Ir 2.91
Tl  0.0000  0.0000  0.5000 (multiplicity 4)  8 Ir 2.91
Ir  0.2500  0.2500  0.2500 (multiplicity 8)  4 Tl 2.91, 4 Y 2.91

Properties
energy of formation	-0.189	eV/atom
magnetic moment	0.00	μB/cell
electronic total energy	-6.827	eV/atom
E above lowest polymorph	68	meV per atom

[23]
A geometry-optimized K2ZnAu2 structure. Source: Alexandria via LeMat-Bulk, functional GGA-PBE.

abc: 11.0301 6.7398 7.8176
angles: 90.00 100.41 90.00
Closest atoms and distances in Å follow each position.
Space group C2/c (No. 15)
Symmetry-distinct sites (fractional):
K  0.1451  0.1369  0.1242 (multiplicity 8)  6 Au 3.36-3.56, 2 Zn 3.48-3.70, 1 K 3.62
Zn  0.0000  0.4436  0.7500 (multiplicity 4)  4 Au 2.66-2.72
Au  0.1372  0.3500  0.5148 (multiplicity 8)  2 Zn 2.66-2.72, 1 Au 2.88

Properties
energy of formation	-0.260	eV/atom
magnetic moment	0.00	μB/cell
electronic total energy	-2.264	eV/atom
E above lowest polymorph	10	meV per atom